Material: Nb3Ni5Ir
Method: DFT, GGA-PBE
State: relaxed

## Properties
The value obtained for the calculated formation energy is 0.29 eV per atom. The uncorrected energy is -7.2633 eV/atom. Its density of states at the Fermi level is 9.8 states/eV/f.u.

Cell: 7.274 7.274 7.197 Å, 120.35 120.35 90.00°
Positions (direct):
Nb 0.618 0.118 0.000
Nb 0.382 0.882 0.000
Nb 0.882 0.618 0.000
Nb 0.118 0.382 0.000
Nb 0.250 0.250 0.500
Nb 0.750 0.750 0.500
Ni 0.069 0.569 0.727
Ni 0.658 0.158 0.727
Ni 0.158 0.069 0.727
Ni 0.569 0.658 0.727
Ni 0.931 0.431 0.273
Ni 0.342 0.842 0.273
Ni 0.842 0.931 0.273
Ni 0.431 0.342 0.273
Ni 0.500 0.500 0.000
Ni 0.000 0.000 0.000
Ir 0.750 0.250 0.500
Ir 0.250 0.750 0.500